Record 1
# CsNaCuCl3

CsNaCuCl3 after structural relaxation (PBE, the Alexandria database).

Calculated values
- Total magnetic moment: 0.000 μB/f.u.
- Symmetry: C2/m, No. 12
- VASP energy: -3.32 eV per atom
- Fermi-level density of states: 0.00 states/eV/cell

Cell lengths 10.394, 10.394, 9.361 Å; angles 114.67, 114.67, 22.87 degrees
Atoms (fractional coordinates):
Cs (0.147, 0.147, 0.035)
Cs (0.853, 0.853, 0.965)
Na (0.169, 0.169, 0.523)
Na (0.831, 0.831, 0.477)
Cu (0.468, 0.468, 0.343)
Cu (0.532, 0.532, 0.657)
Cl (0.013, 0.013, 0.319)
Cl (0.321, 0.321, 0.668)
Cl (0.344, 0.344, 0.263)
Cl (0.656, 0.656, 0.737)
Cl (0.679, 0.679, 0.332)
Cl (0.987, 0.987, 0.681)

***

Record 2
# SmDyPt2

SmDyPt2 after structural relaxation (PBE, the Alexandria database).

Calculated values
- Total magnetic moment: 0.000 μB/f.u.
- Symmetry: Amm2, No. 38
- VASP energy: -6.59 eV per atom
- E_form: -1.2372 eV per atom
- Fermi-level density of states: 5.07 states/eV/cell
- Excess energy over the best structure of this formula in the dataset: 0 meV per atom

Cell lengths 4.498, 3.825, 10.665 Å; angles 90.00, 90.00, 90.00 degrees
Atoms (fractional coordinates):
Sm (0.000, 0.000, 0.000)
Sm (0.000, 0.500, 0.500)
Dy (0.500, 0.000, 0.276)
Dy (0.500, 0.500, 0.776)
Pt (0.000, 0.000, 0.727)
Pt (0.000, 0.500, 0.227)
Pt (0.500, 0.000, 0.551)
Pt (0.500, 0.500, 0.051)

***

Record 3
# Pm2Dy3Er8

Pm2Dy3Er8 after structural relaxation (PBE, the Alexandria database).

Calculated values
- Total magnetic moment: 0.001 μB/f.u.
- Symmetry: Cmmm, No. 65
- VASP energy: -4.35 eV per atom
- E_form: 0.2465 eV per atom
- Fermi-level density of states: 22.12 states/eV/cell

Cell lengths 10.961, 10.961, 5.516 Å; angles 90.00, 90.00, 139.59 degrees
Atoms (fractional coordinates):
Pm (0.241, 0.759, 0.000)
Pm (0.759, 0.241, 0.000)
Dy (0.000, 0.000, 0.000)
Dy (0.287, 0.287, 0.500)
Dy (0.713, 0.713, 0.500)
Er (0.129, 0.871, 0.500)
Er (0.179, 0.394, 0.000)
Er (0.338, 0.662, 0.500)
Er (0.394, 0.179, 0.000)
Er (0.606, 0.821, 0.000)
Er (0.662, 0.338, 0.500)
Er (0.821, 0.606, 0.000)
Er (0.871, 0.129, 0.500)

***

Record 4
# Rb4Se5S3

Rb4Se5S3 after structural relaxation (PBE, the Alexandria database).

Calculated values
- Total magnetic moment: 0.331 μB/f.u.
- Symmetry: C2/m, No. 12
- VASP energy: -3.42 eV per atom
- Fermi-level density of states: 4.46 states/eV/cell

Cell lengths 9.833, 9.833, 11.639 Å; angles 123.12, 123.12, 28.23 degrees
Atoms (fractional coordinates):
Rb (0.006, 0.006, 0.285)
Rb (0.280, 0.280, 0.814)
Rb (0.720, 0.720, 0.186)
Rb (0.994, 0.994, 0.715)
Se (0.289, 0.289, 0.469)
Se (0.398, 0.398, 0.427)
Se (0.500, 0.500, 0.000)
Se (0.602, 0.602, 0.573)
Se (0.711, 0.711, 0.531)
S (0.000, 0.000, 0.000)
S (0.352, 0.352, 0.204)
S (0.648, 0.648, 0.796)

***

Record 5
# BaCd2Hg

BaCd2Hg after structural relaxation (PBE, the Alexandria database).

Calculated values
- Total magnetic moment: 0.000 μB/f.u.
- Symmetry: I-42d, No. 122
- VASP energy: -1.17 eV per atom
- E_form: -0.1592 eV per atom
- Fermi-level density of states: 15.22 states/eV/cell

Cell lengths 5.194, 5.194, 21.385 Å; angles 90.00, 90.00, 90.00 degrees
Atoms (fractional coordinates):
Ba (0.000, 0.000, 0.000)
Ba (0.000, 0.500, 0.250)
Ba (0.500, 0.000, 0.750)
Ba (0.500, 0.500, 0.500)
Cd (0.118, 0.250, 0.625)
Cd (0.250, 0.618, 0.875)
Cd (0.250, 0.882, 0.375)
Cd (0.382, 0.250, 0.125)
Cd (0.618, 0.750, 0.125)
Cd (0.750, 0.118, 0.375)
Cd (0.750, 0.382, 0.875)
Cd (0.882, 0.750, 0.625)
Hg (0.000, 0.000, 0.500)
Hg (0.000, 0.500, 0.750)
Hg (0.500, 0.000, 0.250)
Hg (0.500, 0.500, 0.000)

***

Record 6
# Ba2N2Cl5

Ba2N2Cl5 after structural relaxation (PBE, the Alexandria database).

Calculated values
- Total magnetic moment: 3.000 μB/f.u.
- Symmetry: Cc, No. 9
- VASP energy: -4.10 eV per atom
- Fermi-level density of states: 4.37 states/eV/cell

Cell lengths 10.226, 10.226, 8.344 Å; angles 91.53, 91.53, 41.40 degrees
Atoms (fractional coordinates):
Ba (0.054, 0.946, 0.500)
Ba (0.482, 0.996, 0.242)
Ba (0.946, 0.054, 0.000)
Ba (0.996, 0.482, 0.742)
N (0.241, 0.323, 0.468)
N (0.323, 0.241, 0.968)
N (0.692, 0.722, 0.497)
N (0.722, 0.692, 0.997)
Cl (0.041, 0.749, 0.766)
Cl (0.063, 0.177, 0.268)
Cl (0.177, 0.063, 0.768)
Cl (0.220, 0.471, 0.364)
Cl (0.290, 0.685, 0.199)
Cl (0.471, 0.220, 0.864)
Cl (0.615, 0.632, 0.039)
Cl (0.632, 0.615, 0.539)
Cl (0.685, 0.290, 0.699)
Cl (0.749, 0.041, 0.266)

***

Record 7
# Zn2SbW

Zn2SbW after structural relaxation (PBE, the Alexandria database).

Calculated values
- Total magnetic moment: 0.000 μB/f.u.
- Symmetry: C2/m, No. 12
- VASP energy: -4.41 eV per atom
- Fermi-level density of states: 4.78 states/eV/cell

Cell lengths 10.146, 2.984, 4.679 Å; angles 90.00, 96.30, 90.00 degrees
Atoms (fractional coordinates):
Zn (0.239, 0.000, 0.225)
Zn (0.261, 0.500, 0.775)
Zn (0.739, 0.500, 0.225)
Zn (0.761, 0.000, 0.775)
Sb (0.000, 0.000, 0.500)
Sb (0.500, 0.500, 0.500)
W (0.000, 0.500, 0.000)
W (0.500, 0.000, 0.000)

***

Record 8
# KAl2Co

KAl2Co after structural relaxation (PBE, the Alexandria database).

Calculated values
- Total magnetic moment: 0.000 μB/f.u.
- Symmetry: R-3m, No. 166
- VASP energy: -3.89 eV per atom
- E_form: 0.0273 eV per atom
- Fermi-level density of states: 8.62 states/eV/cell
- Excess energy over the best structure of this formula in the dataset: 2 meV per atom

Cell lengths 4.228, 4.228, 18.831 Å; angles 90.00, 90.00, 120.00 degrees
Atoms (fractional coordinates):
K (0.000, 0.000, 0.000)
K (0.333, 0.667, 0.667)
K (0.667, 0.333, 0.333)
Al (0.000, 0.000, 0.187)
Al (0.000, 0.000, 0.813)
Al (0.333, 0.667, 0.479)
Al (0.333, 0.667, 0.854)
Al (0.667, 0.333, 0.146)
Al (0.667, 0.333, 0.521)
Co (0.000, 0.000, 0.500)
Co (0.333, 0.667, 0.167)
Co (0.667, 0.333, 0.833)

***

Record 9
# K2CdFeBr6

K2CdFeBr6 after structural relaxation (PBE, the Alexandria database).

Calculated values
- Total magnetic moment: 4.000 μB/f.u.
- Symmetry: R-3, No. 148
- VASP energy: -3.19 eV per atom
- Fermi-level density of states: 6.26 states/eV/cell

Cell lengths 7.500, 7.500, 7.500 Å; angles 61.27, 61.27, 61.27 degrees
Atoms (fractional coordinates):
K (0.245, 0.245, 0.245)
K (0.755, 0.755, 0.755)
Cd (0.500, 0.500, 0.500)
Fe (0.000, 0.000, 0.000)
Br (0.171, 0.312, 0.763)
Br (0.237, 0.829, 0.688)
Br (0.312, 0.763, 0.171)
Br (0.688, 0.237, 0.829)
Br (0.763, 0.171, 0.312)
Br (0.829, 0.688, 0.237)

***

Record 10
# Li2CaYPd

Li2CaYPd after structural relaxation (PBE, the Alexandria database).

Calculated values
- Total magnetic moment: 0.000 μB/f.u.
- Symmetry: P4/mmm, No. 123
- VASP energy: -3.59 eV per atom
- E_form: -0.0893 eV per atom
- Fermi-level density of states: 3.69 states/eV/cell

Cell lengths 5.079, 5.079, 5.282 Å; angles 90.00, 90.00, 90.00 degrees
Atoms (fractional coordinates):
Li (0.000, 0.500, 0.000)
Li (0.500, 0.000, 0.000)
Ca (0.000, 0.000, 0.500)
Y (0.500, 0.500, 0.500)
Pd (0.500, 0.500, 0.000)

***

Record 11
# AlTcP

AlTcP after structural relaxation (PBE, the Alexandria database).

Calculated values
- Total magnetic moment: 0.000 μB/f.u.
- Symmetry: F-43m, No. 216
- VASP energy: -6.56 eV per atom
- E_form: -0.0506 eV per atom
- Fermi-level density of states: 10.84 states/eV/cell
- Excess energy over the best structure of this formula in the dataset: 463 meV per atom

Cell lengths 5.660, 5.660, 5.660 Å; angles 90.00, 90.00, 90.00 degrees
Atoms (fractional coordinates):
Al (0.000, 0.000, 0.000)
Al (0.000, 0.500, 0.500)
Al (0.500, 0.000, 0.500)
Al (0.500, 0.500, 0.000)
Tc (0.000, 0.000, 0.500)
Tc (0.000, 0.500, 0.000)
Tc (0.500, 0.000, 0.000)
Tc (0.500, 0.500, 0.500)
P (0.250, 0.250, 0.750)
P (0.250, 0.750, 0.250)
P (0.750, 0.250, 0.250)
P (0.750, 0.750, 0.750)

***

Record 12
# CeThSb

CeThSb after structural relaxation (PBE, the Alexandria database).

Calculated values
- Total magnetic moment: 0.650 μB/f.u.
- Symmetry: I4mm, No. 107
- VASP energy: -6.35 eV per atom
- Fermi-level density of states: 12.12 states/eV/cell

Cell lengths 4.229, 4.229, 9.779 Å; angles 90.00, 90.00, 90.00 degrees
Atoms (fractional coordinates):
Ce (0.000, 0.000, 0.000)
Ce (0.500, 0.500, 0.500)
Th (0.000, 0.000, 0.287)
Th (0.500, 0.500, 0.787)
Sb (0.000, 0.000, 0.641)
Sb (0.500, 0.500, 0.141)